Entry 1:
VASP calculation (PBE) on a geometry-optimized SrTbPO structure.

Structure (POSCAR):
```
SrTbPO
1.0
4.0600 0.0000 0.0000
0.0000 6.6475 0.0000
0.0000 0.0000 7.0231
Sr Tb P O
2 2 2 2
direct
0.0000 0.0490 0.0000
0.0000 0.9510 0.5000
0.5000 0.3794 0.3534
0.5000 0.6206 0.8534
0.5000 0.2316 0.7264
0.5000 0.7684 0.2264
0.0000 0.2649 0.2819
0.0000 0.7351 0.7819
```

## Properties
DFT total energy: -6.14 eV/atom
offset from the most stable computed form: 0.000 eV per atom

---

Entry 2:
VASP calculation (PBE) on a geometry-optimized TlOs2 structure.

Structure (POSCAR):
```
TlOs2
1.0
0.0000 3.7677 3.7677
3.7677 0.0000 3.7677
3.7677 3.7677 0.0000
Tl Os
2 4
direct
0.1250 0.1250 0.1250
0.8750 0.8750 0.8750
0.0000 0.5000 0.5000
0.5000 0.0000 0.5000
0.5000 0.5000 0.0000
0.5000 0.5000 0.5000
```

## Properties
DFT total energy: -7.18 eV/atom
offset from the most stable computed form: 0.000 eV per atom

---

Entry 3:
VASP calculation (PBE) on a geometry-optimized RbNbAs structure.

Structure (POSCAR):
```
RbNbAs
1.0
7.2158 0.0000 0.0000
0.0000 7.2158 0.0000
0.0000 0.0000 7.2158
Rb Nb As
4 4 4
direct
0.0000 0.0000 0.0000
0.0000 0.5000 0.5000
0.5000 0.0000 0.5000
0.5000 0.5000 0.0000
0.2500 0.2500 0.2500
0.2500 0.7500 0.7500
0.7500 0.2500 0.7500
0.7500 0.7500 0.2500
0.2500 0.2500 0.7500
0.2500 0.7500 0.2500
0.7500 0.2500 0.2500
0.7500 0.7500 0.7500
```

## Properties
DFT total energy: -3.50 eV/atom
offset from the most stable computed form: 0.866 eV per atom

---

| no. | spin magnetization (μB/atom) |
| --- | --- |
| 1 | 0.0002 |
| 2 | 0.2800 |
| 3 | 0.9999 |